KSb2CI: optimized geometry, PBE.

Computed properties:
- calculated total energy (eV/atom) = -3.49
- formation energy (no corrections) (eV/atom) = 0.53
- offset from the most stable computed form (meV/atom) = 0
- total magnetization (μB/cell) = 0.000
- DOS(E_F) (states/eV/atom) = 0.44

Structure (CIF):
```
data_KSb2CI
_cell_length_a 4.6337
_cell_length_b 4.6337
_cell_length_c 9.2621
_cell_angle_alpha 90.00
_cell_angle_beta 90.00
_cell_angle_gamma 90.00
_space_group_name_H-M_alt 'P 4/m m m'
_space_group_IT_number 123
_space_group_name_Hall '-P 4 2'
loop_
_atom_site_label
_atom_site_fract_x
_atom_site_fract_y
_atom_site_fract_z
_atom_site_occupancy
K1 0.0000 0.0000 0.0000 1
Sb1 0.0000 0.5000 0.5000 1
C1 0.5000 0.5000 0.5000 1
I1 0.5000 0.5000 0.0000 1
```